# 1
## YCoBOs (PBE-GGA)

Data for an optimized crystal structure of YCoBOs.

Unit cell a=4.410 b=4.410 c=4.410 alpha=60.00 beta=60.00 gamma=60.00
Fractional positions:
1 B 0.000 0.000 0.000
2 Co 0.750 0.750 0.750
3 Os 0.500 0.500 0.500
4 Y 0.250 0.250 0.250

Properties
Total magnetization   3.152 Bohr magnetons per cell
Calculated volume   15.156 Å³/atom
Calculated total energy   -7.041 eV/atom

# 2
## Sc4TlAuN2 (PBE-GGA)

Data for an optimized crystal structure of Sc4TlAuN2.

Unit cell a=3.271 b=3.271 c=14.357 alpha=90.00 beta=90.00 gamma=120.00
Fractional positions:
1 Au 0.333 0.667 0.000
2 N 0.000 0.000 0.245
3 N 0.000 0.000 0.755
4 Sc 0.667 0.333 0.154
5 Sc 0.333 0.667 0.324
6 Sc 0.333 0.667 0.676
7 Sc 0.667 0.333 0.846
8 Tl 0.667 0.333 0.500

Properties
Total magnetization   0.003 Bohr magnetons per cell
Calculated volume   16.625 Å³/atom
Calculated total energy   -7.122 eV/atom

# 3
## PtBr2F2 (PBE-GGA)

Data for an optimized crystal structure of PtBr2F2.

Unit cell a=5.056 b=5.056 c=3.634 alpha=90.00 beta=90.00 gamma=90.59
Fractional positions:
1 Br 0.236 0.236 0.000
2 Br 0.764 0.764 0.000
3 F 0.724 0.276 0.500
4 F 0.276 0.724 0.500
5 Pt 0.000 0.000 0.500

Properties
Total magnetization   0.001 Bohr magnetons per cell
Calculated volume   18.580 Å³/atom
Calculated total energy   -3.406 eV/atom

# 4
## LuHgTeO (PBE-GGA)

Data for an optimized crystal structure of LuHgTeO.

Unit cell a=4.760 b=9.129 c=5.863 alpha=90.00 beta=90.00 gamma=90.00
Fractional positions:
1 Hg 0.000 0.296 0.137
2 Hg 0.000 0.704 0.637
3 Lu 0.500 0.878 0.021
4 Lu 0.500 0.122 0.521
5 O 0.500 0.068 0.192
6 O 0.500 0.932 0.692
7 Te 0.000 0.692 0.141
8 Te 0.000 0.308 0.641

Properties
Total magnetization   0.001 Bohr magnetons per cell
Calculated volume   31.849 Å³/atom
Calculated total energy   -4.753 eV/atom

# 5
## PmZnBi (PBE-GGA)

Data for an optimized crystal structure of PmZnBi.

Unit cell a=4.929 b=4.929 c=4.929 alpha=60.00 beta=60.00 gamma=60.00
Fractional positions:
1 Bi 0.250 0.250 0.250
2 Pm 0.750 0.750 0.750
3 Zn 0.000 0.000 0.000

Properties
Total magnetization   0.002 Bohr magnetons per cell
Calculated volume   28.222 Å³/atom
Calculated total energy   -3.672 eV/atom

# 6
## Na2Zr2AlInPt2 (PBE-GGA)

Data for an optimized crystal structure of Na2Zr2AlInPt2.

Unit cell a=4.668 b=4.668 c=6.645 alpha=90.00 beta=90.00 gamma=90.00
Fractional positions:
1 Al 0.000 0.000 0.000
2 In 0.500 0.500 0.500
3 Na 0.500 0.000 0.244
4 Na 0.000 0.500 0.756
5 Pt 0.000 0.500 0.237
6 Pt 0.500 0.000 0.763
7 Zr 0.500 0.500 0.000
8 Zr 0.000 0.000 0.500

Properties
Total magnetization   0.010 Bohr magnetons per cell
Calculated volume   18.098 Å³/atom
Calculated total energy   -5.279 eV/atom

# 7
## LuGaFeOs (PBE-GGA)

Data for an optimized crystal structure of LuGaFeOs.

Unit cell a=4.467 b=4.467 c=4.467 alpha=60.00 beta=60.00 gamma=60.00
Fractional positions:
1 Fe 0.750 0.750 0.750
2 Ga 0.000 0.000 0.000
3 Lu 0.500 0.500 0.500
4 Os 0.250 0.250 0.250

Properties
Total magnetization   1.891 Bohr magnetons per cell
Calculated volume   15.752 Å³/atom
Calculated total energy   -6.772 eV/atom

# 8
## DyY2Fe3Ni6 (PBE-GGA)

Data for an optimized crystal structure of DyY2Fe3Ni6.

Unit cell a=8.541 b=8.541 c=8.541 alpha=34.31 beta=34.31 gamma=34.31
Each line ends with the local moment (μB).
Fractional positions:
1 Dy 0.000 0.000 0.000  -0.16
2 Fe 0.333 0.333 0.333  2.53
3 Fe 0.500 0.500 0.500  2.34
4 Fe 0.667 0.667 0.667  2.53
5 Ni 0.582 0.582 0.082  0.36
6 Ni 0.418 0.918 0.418  0.37
7 Ni 0.918 0.418 0.418  0.35
8 Ni 0.582 0.082 0.582  0.37
9 Ni 0.082 0.582 0.582  0.35
10 Ni 0.418 0.418 0.918  0.36
11 Y 0.139 0.139 0.139  -0.18
12 Y 0.861 0.861 0.861  -0.18

Properties
Total magnetization   8.709 Bohr magnetons per cell
Calculated volume   14.713 Å³/atom
Energy of formation   -0.2776 eV per atom
Calculated total energy   -6.600 eV/atom